Record 1
# AcTm2Sc, optimized geometry, DFT PBE
# Energy of formation from the pure elements in eV per atom: 0.09
# Space group: P4/mmm
# Spin magnetization in Bohr magnetons per cell: 0.00
data_AcTm2Sc
_cell_length_a 3.9340
_cell_length_b 3.9340
_cell_length_c 8.4068
_cell_angle_alpha 90.00
_cell_angle_beta 90.00
_cell_angle_gamma 90.00
_space_group_name_H-M_alt 'P 1'
_space_group_IT_number 1
_space_group_name_Hall 'P 1'
loop_
_atom_site_label
_atom_site_type_symbol
_atom_site_fract_x
_atom_site_fract_y
_atom_site_fract_z
Tm1 Tm 0.0000 0.0000 0.7930
Tm2 Tm 0.0000 0.0000 0.2070
Sc1 Sc 0.5000 0.5000 0.0000
Ac1 Ac 0.5000 0.5000 0.5000

***

Record 2
# AcTmSc, optimized geometry, DFT PBE
# Energy of formation from the pure elements in eV per atom: 0.18
# Space group: P3m1
# Spin magnetization in Bohr magnetons per cell: 0.00
data_AcTmSc
_cell_length_a 3.5111
_cell_length_b 5.6472
_cell_length_c 5.6472
_cell_angle_alpha 120.00
_cell_angle_beta 90.00
_cell_angle_gamma 90.00
_space_group_name_H-M_alt 'P 1'
_space_group_IT_number 1
_space_group_name_Hall 'P 1'
loop_
_atom_site_label
_atom_site_type_symbol
_atom_site_fract_x
_atom_site_fract_y
_atom_site_fract_z
Sc1 Sc 0.1656 0.3333 0.6667
Tm1 Tm 0.6669 0.6667 0.3333
Ac1 Ac 0.1675 0.0000 0.0000

***

Record 3
# AcTm2Sc, optimized geometry, DFT PBE
# Energy of formation from the pure elements in eV per atom: 0.22
# Space group: R-3m
# Spin magnetization in Bohr magnetons per cell: 0.00
data_AcTm2Sc
_cell_length_a 3.4998
_cell_length_b 3.4998
_cell_length_c 12.4116
_cell_angle_alpha 81.90
_cell_angle_beta 81.90
_cell_angle_gamma 60.00
_space_group_name_H-M_alt 'P 1'
_space_group_IT_number 1
_space_group_name_Hall 'P 1'
loop_
_atom_site_label
_atom_site_type_symbol
_atom_site_fract_x
_atom_site_fract_y
_atom_site_fract_z
Tm1 Tm 0.0953 0.0953 0.7142
Tm2 Tm 0.9047 0.9047 0.2858
Sc1 Sc 0.5000 0.5000 0.5000
Ac1 Ac 0.0000 0.0000 0.0000

***

Record 4
# AcTmSc2, optimized geometry, DFT PBE
# Energy of formation from the pure elements in eV per atom: 0.14
# Space group: R-3m
# Spin magnetization in Bohr magnetons per cell: 0.00
data_AcTmSc2
_cell_length_a 3.5631
_cell_length_b 3.5631
_cell_length_c 11.2341
_cell_angle_alpha 80.88
_cell_angle_beta 80.88
_cell_angle_gamma 60.00
_space_group_name_H-M_alt 'P 1'
_space_group_IT_number 1
_space_group_name_Hall 'P 1'
loop_
_atom_site_label
_atom_site_type_symbol
_atom_site_fract_x
_atom_site_fract_y
_atom_site_fract_z
Ac1 Ac 0.0000 0.0000 0.0000
Tm1 Tm 0.5000 0.5000 0.5000
Sc1 Sc 0.2467 0.2467 0.2599
Sc2 Sc 0.7533 0.7533 0.7401

***

Record 5
# AcTm2Sc, optimized geometry, DFT PBE
# Energy of formation from the pure elements in eV per atom: 0.10
# Space group: P4/mmm
# Spin magnetization in Bohr magnetons per cell: 0.01
data_AcTm2Sc
_cell_length_a 5.1788
_cell_length_b 4.9691
_cell_length_c 4.9691
_cell_angle_alpha 90.00
_cell_angle_beta 90.00
_cell_angle_gamma 90.00
_space_group_name_H-M_alt 'P 1'
_space_group_IT_number 1
_space_group_name_Hall 'P 1'
loop_
_atom_site_label
_atom_site_type_symbol
_atom_site_fract_x
_atom_site_fract_y
_atom_site_fract_z
Ac1 Ac 0.5000 0.5000 0.5000
Tm1 Tm 0.0000 0.5000 0.0000
Sc1 Sc 0.5000 0.0000 0.0000
Tm2 Tm 0.0000 0.0000 0.5000

***

Record 6
# AcTmSc, optimized geometry, DFT PBE
# Energy of formation from the pure elements in eV per atom: 0.63
# Space group: P2_13
# Spin magnetization in Bohr magnetons per cell: 0.00
data_AcTmSc
_cell_length_a 7.5332
_cell_length_b 7.5332
_cell_length_c 7.5332
_cell_angle_alpha 90.00
_cell_angle_beta 90.00
_cell_angle_gamma 90.00
_space_group_name_H-M_alt 'P 1'
_space_group_IT_number 1
_space_group_name_Hall 'P 1'
loop_
_atom_site_label
_atom_site_type_symbol
_atom_site_fract_x
_atom_site_fract_y
_atom_site_fract_z
Tm1 Tm 0.0796 0.4204 0.5796
Ac1 Ac 0.3945 0.1055 0.8945
Sc1 Sc 0.2770 0.2770 0.2770
Sc2 Sc 0.7230 0.7770 0.2230
Ac2 Ac 0.6055 0.6055 0.6055
Tm2 Tm 0.5796 0.0796 0.4204
Ac3 Ac 0.8945 0.3945 0.1055
Sc3 Sc 0.2230 0.7230 0.7770
Sc4 Sc 0.7770 0.2230 0.7230
Tm3 Tm 0.4204 0.5796 0.0796
Ac4 Ac 0.1055 0.8945 0.3945
Tm4 Tm 0.9204 0.9204 0.9204

***

Record 7
# AcTm2Sc, optimized geometry, DFT PBE
# Energy of formation from the pure elements in eV per atom: 0.17
# Space group: Fm-3m
# Spin magnetization in Bohr magnetons per cell: 0.00
data_AcTm2Sc
_cell_length_a 5.6713
_cell_length_b 5.6713
_cell_length_c 5.6713
_cell_angle_alpha 60.00
_cell_angle_beta 60.00
_cell_angle_gamma 60.00
_space_group_name_H-M_alt 'P 1'
_space_group_IT_number 1
_space_group_name_Hall 'P 1'
loop_
_atom_site_label
_atom_site_type_symbol
_atom_site_fract_x
_atom_site_fract_y
_atom_site_fract_z
Tm1 Tm 0.2500 0.2500 0.2500
Sc1 Sc 0.5000 0.5000 0.5000
Tm2 Tm 0.7500 0.7500 0.7500
Ac1 Ac 0.0000 0.0000 0.0000

***

Record 8
# AcTm12Sc7, optimized geometry, DFT PBE
# Energy of formation from the pure elements in eV per atom: 0.19
# Space group: R-3
# Spin magnetization in Bohr magnetons per cell: 0.01
data_AcTm12Sc7
_cell_length_a 8.9593
_cell_length_b 8.9593
_cell_length_c 8.9593
_cell_angle_alpha 107.48
_cell_angle_beta 107.48
_cell_angle_gamma 107.48
_space_group_name_H-M_alt 'P 1'
_space_group_IT_number 1
_space_group_name_Hall 'P 1'
loop_
_atom_site_label
_atom_site_type_symbol
_atom_site_fract_x
_atom_site_fract_y
_atom_site_fract_z
Tm1 Tm 0.4041 0.0359 0.2975
Sc1 Sc 0.8928 0.3326 0.0186
Tm2 Tm 0.5959 0.9641 0.7025
Sc2 Sc 0.0186 0.8928 0.3326
Sc3 Sc 0.6674 0.9814 0.1072
Tm3 Tm 0.3404 0.6393 0.7689
Tm4 Tm 0.7025 0.5959 0.9641
Sc4 Sc 0.3326 0.0186 0.8928
Tm5 Tm 0.6393 0.7689 0.3404
Sc5 Sc 0.9814 0.1072 0.6674
Tm6 Tm 0.9641 0.7025 0.5959
Tm7 Tm 0.0359 0.2975 0.4041
Tm8 Tm 0.6596 0.3607 0.2311
Tm9 Tm 0.2975 0.4041 0.0359
Tm10 Tm 0.7689 0.3404 0.6393
Tm11 Tm 0.3607 0.2311 0.6596
Sc6 Sc 0.5000 0.5000 0.5000
Ac1 Ac 0.0000 0.0000 0.0000
Sc7 Sc 0.1072 0.6674 0.9814
Tm12 Tm 0.2311 0.6596 0.3607

***

Question: spin magnetization of number 6 (AcTmSc)?
Answer: 0.00 Bohr magnetons per cell

***

Question: The lowest energy of formation from the pure elements belongs to which entry?
Answer: number 1

***

Question: What is the formula in the fourth record?
Answer: AcTmSc2